1.
This record from Alexandria via LeMat-Bulk describes a geometry-optimized Tl2InPbI6 structure. The functional is PBE-GGA.

Computed properties:
The value obtained for the total energy is -2.605 eV per atom. The calculated volume comes out at 46.05 A^3/atom.

Structure (POSCAR):
```
Tl2InPbI6
1.0
8.483 0.003 0.001
4.244 7.346 0.001
4.243 2.451 7.393
I Pb Tl In
6 1 2 1
direct
0.467 0.673 0.770
0.674 0.089 0.770
0.974 0.581 0.261
0.090 0.467 0.769
0.183 0.975 0.262
0.580 0.184 0.262
0.823 0.823 0.530
0.524 0.523 0.430
0.023 0.023 0.931
0.323 0.323 0.030
```

---

2.
This record from Alexandria via LeMat-Bulk describes a geometry-optimized TlInPb2I8 structure. The functional is PBE-GGA.

Computed properties:
The value obtained for the total energy is -2.611 eV per atom. The calculated volume comes out at 45.46 A^3/atom.

Structure (POSCAR):
```
TlInPb2I8
1.0
7.731 0.058 -0.005
0.110 7.294 -0.005
0.008 0.015 9.675
I Pb Tl In
8 2 1 1
direct
0.326 0.230 0.000
0.148 0.759 0.217
0.148 0.759 0.784
0.852 0.241 0.216
0.674 0.770 0.000
0.359 0.271 0.500
0.852 0.241 0.783
0.641 0.729 0.500
0.500 0.500 0.756
0.500 0.500 0.244
0.000 0.000 0.500
0.000 0.000 0.000
```

---

3.
This record from Alexandria via LeMat-Bulk describes a geometry-optimized TmInPbI6 structure. The functional is PBE-GGA.

Computed properties:
The value obtained for the total energy is -3.170 eV per atom. The calculated volume comes out at 46.96 A^3/atom.

Structure (POSCAR):
```
TmInPbI6
1.0
-7.387 -0.564 -3.142
1.285 -2.097 7.662
-2.933 14.126 4.358
I Pb Tm In
12 2 2 2
direct
0.349 0.371 0.867
0.977 0.349 0.133
0.651 0.023 0.367
0.629 0.977 0.867
0.371 0.349 0.367
0.629 0.651 0.633
0.023 0.651 0.867
0.023 0.371 0.633
0.349 0.977 0.633
0.977 0.629 0.367
0.651 0.629 0.133
0.371 0.023 0.133
0.667 0.333 0.750
0.333 0.667 0.250
0.667 0.333 0.250
0.333 0.667 0.750
0.000 0.000 0.500
0.000 0.000 0.000
```

---

4.
This record from Alexandria via LeMat-Bulk describes a geometry-optimized In2Pd2I structure. The functional is PBE-GGA.

Computed properties:
For the polymorph energy (0 for the lowest one), the calculation gives 43 meV/atom. The value obtained for the total energy is -3.657 eV per atom. The calculated volume comes out at 25.28 A^3/atom.

Structure (POSCAR):
```
In2Pd2I
1.0
-2.967 -0.703 2.516
2.416 -2.186 2.239
1.757 5.139 6.614
I Pd In
1 2 2
direct
0.000 0.000 0.000
0.750 0.250 0.500
0.250 0.750 0.500
0.631 0.631 0.738
0.369 0.369 0.262
```

---

5.
This record from Alexandria via LeMat-Bulk describes a geometry-optimized InPd2I structure. The functional is PBE-GGA.

Computed properties:
For the polymorph energy (0 for the lowest one), the calculation gives 13 meV/atom. The value obtained for the total energy is -3.671 eV per atom. The calculated volume comes out at 24.88 A^3/atom.

Structure (POSCAR):
```
InPd2I
1.0
-1.649 -4.339 -1.510
1.372 -1.996 4.238
-7.643 -1.444 4.606
Pd I In
4 2 2
direct
0.875 0.868 0.750
0.375 0.382 0.750
0.618 0.125 0.250
0.132 0.625 0.250
0.750 0.250 0.500
0.000 0.000 0.000
0.250 0.750 0.500
0.500 0.500 0.000
```

---

6.
This record from Alexandria via LeMat-Bulk describes a geometry-optimized InPdI4 structure. The functional is PBE-GGA.

Computed properties:
The value obtained for the total energy is -2.639 eV per atom. The calculated volume comes out at 46.38 A^3/atom.

Structure (POSCAR):
```
InPdI4
1.0
7.932 0.000 0.000
0.000 7.932 0.000
-3.966 -3.966 4.423
I Pd In
4 1 1
direct
0.384 0.850 0.145
0.150 0.239 0.855
0.705 0.616 0.855
0.761 0.295 0.145
0.500 0.500 0.000
0.750 0.250 0.500
```

---

7.
This record from Alexandria via LeMat-Bulk describes a geometry-optimized InPd2I structure. The functional is PBE-GGA.

Computed properties:
For the polymorph energy (0 for the lowest one), the calculation gives 0 meV/atom. The value obtained for the total energy is -3.684 eV per atom. The calculated volume comes out at 20.51 A^3/atom.

Structure (POSCAR):
```
InPd2I
1.0
-0.567 -4.819 0.499
-3.073 -2.410 -2.923
1.741 -3.027 -3.406
I Pd In
1 2 1
direct
0.500 0.500 0.500
0.750 0.750 0.750
0.250 0.250 0.250
0.000 0.000 0.000
```

---

8.
This record from Alexandria via LeMat-Bulk describes a geometry-optimized InPdI6 structure. The functional is PBE-GGA.

Computed properties:
For the polymorph energy (0 for the lowest one), the calculation gives 0 meV/atom. The value obtained for the total energy is -2.423 eV per atom. The calculated volume comes out at 43.54 A^3/atom.

Structure (POSCAR):
```
InPdI6
1.0
10.239 4.205 -0.858
0.869 6.135 4.279
-2.544 0.261 7.083
I In Pd
6 1 1
direct
0.813 0.862 0.138
0.699 0.300 0.412
0.301 0.700 0.588
0.301 0.412 0.300
0.699 0.588 0.700
0.187 0.138 0.862
0.000 0.000 0.000
0.500 0.500 0.500
```

---

9.
This record from Alexandria via LeMat-Bulk describes a geometry-optimized InPdI2 structure. The functional is PBE-GGA.

Computed properties:
For the polymorph energy (0 for the lowest one), the calculation gives 267 meV/atom. The value obtained for the total energy is -2.738 eV per atom. The calculated volume comes out at 42.76 A^3/atom.

Structure (POSCAR):
```
InPdI2
1.0
4.780 0.000 0.000
2.390 4.140 0.000
2.390 1.380 8.645
In I Pd
1 2 1
direct
0.500 0.500 0.500
0.098 0.098 0.705
0.902 0.902 0.295
0.000 0.000 0.000
```

---

10.
This record from Alexandria via LeMat-Bulk describes a geometry-optimized InPdI2 structure. The functional is PBE-GGA.

Computed properties:
For the polymorph energy (0 for the lowest one), the calculation gives 0 meV/atom. The value obtained for the total energy is -3.005 eV per atom. The calculated volume comes out at 36.91 A^3/atom.

Structure (POSCAR):
```
InPdI2
1.0
-5.476 8.608 -2.132
-1.979 -3.629 -9.568
-5.982 1.284 -4.926
I In Pd
4 2 2
direct
0.296 0.625 0.250
0.375 0.546 0.750
0.875 0.704 0.750
0.454 0.125 0.250
0.750 0.250 0.500
0.000 0.000 0.000
0.250 0.750 0.500
0.500 0.500 0.000
```

---

11.
This record from Alexandria via LeMat-Bulk describes a geometry-optimized InPd2I8 structure. The functional is PBE-GGA.

Computed properties:
The value obtained for the total energy is -2.451 eV per atom. The calculated volume comes out at 43.31 A^3/atom.

Structure (POSCAR):
```
InPd2I8
1.0
-0.848 6.856 3.287
-3.481 -1.078 7.611
6.066 0.978 5.784
I Pd In
8 2 1
direct
0.815 0.713 0.092
0.185 0.908 0.287
0.185 0.287 0.908
0.890 0.621 0.621
0.110 0.379 0.379
0.659 0.208 0.208
0.341 0.792 0.792
0.815 0.092 0.713
0.655 0.832 0.832
0.345 0.168 0.168
0.000 0.000 0.000
```

---

12.
This record from Alexandria via LeMat-Bulk describes a geometry-optimized In3PdI structure. The functional is PBE-GGA.

Computed properties:
For the polymorph energy (0 for the lowest one), the calculation gives 0 meV/atom. The value obtained for the total energy is -3.351 eV per atom. The calculated volume comes out at 29.97 A^3/atom.

Structure (POSCAR):
```
In3PdI
1.0
-1.331 5.075 0.827
0.205 -0.801 5.247
5.138 1.347 0.005
Pd In I
1 3 1
direct
0.000 0.000 0.000
0.000 0.000 0.500
0.000 0.500 0.000
0.500 0.000 0.000
0.500 0.500 0.500
```

---

13.
This record from Alexandria via LeMat-Bulk describes a geometry-optimized In2Pd2I structure. The functional is PBE-GGA.

Computed properties:
For the polymorph energy (0 for the lowest one), the calculation gives 0 meV/atom. The value obtained for the total energy is -3.700 eV per atom. The calculated volume comes out at 21.71 A^3/atom.

Structure (POSCAR):
```
In2Pd2I
1.0
-0.510 7.629 -1.414
-6.391 -1.217 -4.260
-2.032 0.408 2.932
Pd I In
4 2 4
direct
0.362 0.862 0.000
0.638 0.138 0.000
0.138 0.362 0.000
0.862 0.638 0.000
0.500 0.500 0.000
0.000 0.000 0.000
0.153 0.653 0.500
0.653 0.847 0.500
0.847 0.347 0.500
0.347 0.153 0.500
```

---

14.
This record from Alexandria via LeMat-Bulk describes a geometry-optimized InPdI6 structure. The functional is PBE-GGA.

Computed properties:
For the polymorph energy (0 for the lowest one), the calculation gives 86 meV/atom. The value obtained for the total energy is -2.337 eV per atom. The calculated volume comes out at 37.23 A^3/atom.

Structure (POSCAR):
```
InPdI6
1.0
-0.728 -1.510 -6.988
-0.427 -6.939 -1.896
-6.823 -2.653 -2.099
I Pd In
6 1 1
direct
0.921 0.610 0.238
0.605 0.239 0.248
0.232 0.925 0.244
0.395 0.761 0.752
0.768 0.075 0.756
0.079 0.390 0.762
0.000 0.000 0.000
0.500 0.500 0.500
```

---

15.
This record from Alexandria via LeMat-Bulk describes a geometry-optimized InPdI structure. The functional is PBE-GGA.

Computed properties:
The value obtained for the total energy is -3.367 eV per atom. The calculated volume comes out at 29.47 A^3/atom.

Structure (POSCAR):
```
InPdI
1.0
4.879 0.871 0.716
-0.801 5.136 -0.514
1.542 -0.862 7.177
Pd I In
2 2 2
direct
0.192 0.038 0.620
0.808 0.962 0.380
0.136 0.575 0.741
0.864 0.425 0.259
0.388 0.955 0.211
0.612 0.045 0.789
```

---

16.
This record from Alexandria via LeMat-Bulk describes a geometry-optimized InPd3I structure. The functional is PBE-GGA.

Computed properties:
For the polymorph energy (0 for the lowest one), the calculation gives 0 meV/atom. The value obtained for the total energy is -3.603 eV per atom. The calculated volume comes out at 25.86 A^3/atom.

Structure (POSCAR):
```
InPd3I
1.0
5.056 0.000 0.000
0.000 5.056 0.000
0.000 0.000 5.056
Pd I In
3 1 1
direct
0.000 0.500 0.000
0.000 0.000 0.500
0.500 0.000 0.000
0.000 0.000 0.000
0.500 0.500 0.500
```

---

17.
This record from Alexandria via LeMat-Bulk describes a geometry-optimized InPdI2 structure. The functional is PBE-GGA.

Computed properties:
For the polymorph energy (0 for the lowest one), the calculation gives 402 meV/atom. The value obtained for the total energy is -2.603 eV per atom. The calculated volume comes out at 28.06 A^3/atom.

Structure (POSCAR):
```
InPdI2
1.0
0.000 3.829 3.829
3.829 0.000 3.829
3.829 3.829 0.000
I Pd In
2 1 1
direct
0.750 0.750 0.750
0.250 0.250 0.250
0.000 0.000 0.000
0.500 0.500 0.500
```

---

18.
This record from Alexandria via LeMat-Bulk describes a geometry-optimized InPdI3 structure. The functional is PBE-GGA.

Computed properties:
For the polymorph energy (0 for the lowest one), the calculation gives 0 meV/atom. The value obtained for the total energy is -2.752 eV per atom. The calculated volume comes out at 34.59 A^3/atom.

Structure (POSCAR):
```
InPdI3
1.0
-5.523 0.338 -0.649
0.628 -0.350 -5.525
-0.376 -5.550 0.309
Pd I In
1 3 1
direct
0.000 0.000 0.000
0.000 0.000 0.500
0.500 0.000 0.000
0.000 0.500 0.000
0.500 0.500 0.500
```

---

19.
This record from Alexandria via LeMat-Bulk describes a geometry-optimized InRePd2I structure. The functional is PBE-GGA.

Computed properties:
The value obtained for the total energy is -4.139 eV per atom. The calculated volume comes out at 25.35 A^3/atom.

Structure (POSCAR):
```
InRePd2I
1.0
-1.571 3.564 -3.097
-3.801 -3.044 -1.575
-2.939 1.817 3.581
I In Re Pd
1 1 1 2
direct
0.000 0.000 0.000
0.500 0.500 0.500
0.000 0.500 0.000
0.500 0.000 0.000
0.000 0.000 0.500
```

---

20.
This record from Alexandria via LeMat-Bulk describes a geometry-optimized In2SnPdI structure. The functional is PBE-GGA.

Computed properties:
The value obtained for the total energy is -3.503 eV per atom. The calculated volume comes out at 30.04 A^3/atom.

Structure (POSCAR):
```
In2SnPdI
1.0
-4.042 -3.104 1.676
2.697 -1.077 4.511
-2.212 4.126 2.307
Sn I In Pd
1 1 2 1
direct
0.000 0.000 0.500
0.500 0.500 0.500
0.500 0.000 0.000
0.000 0.500 0.000
0.000 0.000 0.000
```

---

21.
This record from Alexandria via LeMat-Bulk describes a geometry-optimized Sr2InPdI structure. The functional is PBE-GGA.

Computed properties:
For the polymorph energy (0 for the lowest one), the calculation gives 310 meV/atom. The value obtained for the total energy is -2.959 eV per atom. The calculated volume comes out at 40.27 A^3/atom.

Structure (POSCAR):
```
Sr2InPdI
1.0
6.358 0.000 0.000
0.000 4.981 0.000
0.000 0.000 6.358
In Sr Pd I
1 2 1 1
direct
0.000 0.000 0.000
0.500 0.000 0.000
0.000 0.000 0.500
0.000 0.500 0.000
0.500 0.500 0.500
```

---

22.
This record from Alexandria via LeMat-Bulk describes a geometry-optimized SrIn2PdI structure. The functional is PBE-GGA.

Computed properties:
The value obtained for the total energy is -3.379 eV per atom. The calculated volume comes out at 33.41 A^3/atom.

Structure (POSCAR):
```
SrIn2PdI
1.0
-1.133 2.056 4.627
-0.747 -4.757 1.931
5.990 -0.293 1.597
In I Sr Pd
2 1 1 1
direct
0.000 0.500 0.000
0.500 0.000 0.000
0.500 0.500 0.500
0.000 0.000 0.500
0.000 0.000 0.000
```

---

23.
This record from Alexandria via LeMat-Bulk describes a geometry-optimized Sr2InPdI structure. The functional is PBE-GGA.

Computed properties:
For the polymorph energy (0 for the lowest one), the calculation gives 0 meV/atom. The value obtained for the total energy is -3.269 eV per atom. The calculated volume comes out at 37.25 A^3/atom.

Structure (POSCAR):
```
Sr2InPdI
1.0
6.039 0.000 0.000
0.000 6.039 0.000
0.000 0.000 5.107
Sr In Pd I
2 1 1 1
direct
0.500 0.000 0.000
0.000 0.500 0.000
0.000 0.000 0.500
0.000 0.000 0.000
0.500 0.500 0.500
```

---

24.
This record from Alexandria via LeMat-Bulk describes a geometry-optimized InTePdI2 structure. The functional is PBE-GGA.

Computed properties:
For the polymorph energy (0 for the lowest one), the calculation gives 0 meV/atom. The value obtained for the total energy is -2.899 eV per atom. The calculated volume comes out at 33.85 A^3/atom.

Structure (POSCAR):
```
InTePdI2
1.0
5.649 0.000 0.000
0.000 5.649 0.000
0.000 0.000 5.303
Te In I Pd
1 1 2 1
direct
0.000 0.000 0.500
0.500 0.500 0.500
0.500 0.000 0.000
0.000 0.500 0.000
0.000 0.000 0.000
```

---

25.
This record from Alexandria via LeMat-Bulk describes a geometry-optimized ZnIn2PdI structure. The functional is PBE-GGA.

Computed properties:
The value obtained for the total energy is -2.970 eV per atom. The calculated volume comes out at 28.35 A^3/atom.

Structure (POSCAR):
```
ZnIn2PdI
1.0
5.338 0.000 0.000
0.000 5.338 0.000
0.000 0.000 4.974
Pd Zn In I
1 1 2 1
direct
0.000 0.000 0.000
0.000 0.000 0.500
0.000 0.500 0.000
0.500 0.000 0.000
0.500 0.500 0.500
```

---

26.
This record from Alexandria via LeMat-Bulk describes a geometry-optimized Pm4InI5 structure. The functional is PBE-GGA.

Computed properties:
The value obtained for the total energy is -4.013 eV per atom. The calculated volume comes out at 38.48 A^3/atom.

Structure (POSCAR):
```
Pm4InI5
1.0
-2.740 0.898 3.299
6.767 -1.427 6.008
2.302 9.125 -3.481
Pm I In
4 5 1
direct
0.001 0.231 0.002
0.344 0.926 0.688
0.999 0.769 0.998
0.656 0.074 0.312
0.171 0.823 0.342
0.168 0.331 0.336
0.500 0.500 0.000
0.832 0.669 0.664
0.829 0.177 0.658
0.500 0.000 0.000
```